12
Lattice="3.087 -5.340 0.000 3.087 5.340 0.000 -2.046 0.000 11.626" Properties=species:S:1:pos:R:3 comment="PmDy3Y6Ho2 | Alexandria via LeMat-Bulk | GGA-PBE | relaxed" vol_a3_per_cell=383.24 delta_e_f_ev_per_fu=0.2 pbc="T T T"
Pm 0.000 0.000 0.000
Dy 2.064 3.557 5.813
Dy 2.064 0.000 5.813
Dy 2.064 -3.557 5.813
Y 1.037 1.782 2.915
Y 0.010 0.000 8.712
Y 1.037 -1.782 2.915
Y 3.091 1.782 8.711
Y 4.118 0.000 2.914
Y 3.091 -1.782 8.711
Ho 3.087 1.780 0.000
Ho 3.087 -1.780 0.000

5
Lattice="4.248 0.000 0.000 0.000 4.248 0.000 0.000 0.000 4.248" Properties=species:S:1:pos:R:3 comment="Cr3FeHg | Alexandria via LeMat-Bulk | GGA-PBE | relaxed" vol_a3_per_cell=76.67 delta_e_f_ev_per_fu=5.6 de_polymorph_kj_per_mol_fu=0.0 pbc="T T T"
Cr 0.000 0.000 2.124
Cr 0.000 2.124 0.000
Cr 2.124 0.000 0.000
Fe 0.000 0.000 0.000
Hg 2.124 2.124 2.124

5
Lattice="5.866 0.000 0.000 0.000 5.866 0.000 0.000 0.000 6.168" Properties=species:S:1:pos:R:3 comment="BaNiSCl2 | Alexandria via LeMat-Bulk | GGA-PBE | relaxed" vol_a3_per_cell=212.26 de_polymorph_kj_per_mol_fu=566.5 pbc="T T T"
Ba 0.000 0.000 0.000
Ni 2.933 2.933 3.084
S 0.000 0.000 3.084
Cl 0.000 2.933 0.000
Cl 2.933 0.000 0.000